ErThTcNi: relaxed, PBE-GGA.

abc: 4.8871 4.8871 4.8871
angles: 60.00 60.00 60.00
Last column: nearest neighbours and their distance in Å.
Atoms (fractional coordinates):
Ni (0.2500, 0.2500, 0.2500)  4 Th 2.99, 4 Er 2.99
Er (0.5000, 0.5000, 0.5000)  4 Tc 2.99, 4 Ni 2.99
Tc (0.7500, 0.7500, 0.7500)  4 Er 2.99, 4 Th 2.99
Th (0.0000, 0.0000, 0.0000)  4 Tc 2.99, 4 Ni 2.99

Output
Density of states at the Fermi level (states/eV/cell): 3.22
Magnetization (μB/cell): 0.000
Energy of formation from the pure elements (eV/atom): -0.23